No. 1
# GGA-PBE Ni2SnGeN, relaxed
# - raw formation energy (eV/atom) = 1.474
# - theoretical density (g cm⁻³) = 5.23
# - total magnetization (Bohr magnetons per cell) = 1.75
data_Ni2SnGeN
_space_group_name_H-M_alt 'P 4/m m m'
_space_group_IT_number 123
_space_group_name_Hall '-P 4 2'
_cell_length_a 4.286
_cell_length_b 4.286
_cell_length_c 5.575
_cell_angle_alpha 90.00
_cell_angle_beta 90.00
_cell_angle_gamma 90.00
loop_
_atom_site_label
_atom_site_type_symbol
_atom_site_fract_x
_atom_site_fract_y
_atom_site_fract_z
Ni1 Ni 0.000 0.500 0.000
Sn1 Sn 0.000 0.000 0.500
Ge1 Ge 0.000 0.000 0.000
N1 N 0.500 0.500 0.500

***

No. 2
# GGA-PBE SrNiGeN, relaxed
# - raw formation energy (eV/atom) = -0.572
# - theoretical density (g cm⁻³) = 5.80
# - total magnetization (Bohr magnetons per cell) = 0.00
data_SrNiGeN
_space_group_name_H-M_alt 'P 4/n m m'
_space_group_IT_number 129
_cell_length_a 3.826
_cell_length_b 3.826
_cell_length_c 9.113
_cell_angle_alpha 90.00
_cell_angle_beta 90.00
_cell_angle_gamma 90.00
loop_
_space_group_symop_operation_xyz
'x,y,z'
'-x,-y,-z'
'-y+1/2,x,z'
'y+1/2,-x,-z'
'-x+1/2,-y+1/2,z'
'x+1/2,y+1/2,-z'
'y,-x+1/2,z'
'-y,x+1/2,-z'
'x+1/2,-y,-z'
'-x+1/2,y,z'
'-y,-x,-z'
'y,x,z'
'-x,y+1/2,-z'
'x,-y+1/2,z'
'y+1/2,x+1/2,-z'
'-y+1/2,-x+1/2,z'
loop_
_atom_site_label
_atom_site_type_symbol
_atom_site_fract_x
_atom_site_fract_y
_atom_site_fract_z
Sr1 Sr 0.250 0.250 0.141
Ni1 Ni 0.250 0.750 0.500
Ge1 Ge 0.250 0.250 0.657
N1 N 0.250 0.250 0.858